Model 1:
DFT (GGA-PBE) results for an optimized crystal structure of MnSe3N.

a = 4.284 Å, b = 4.284 Å, c = 4.284 Å
α = 90.00°, β = 90.00°, γ = 90.00°
Element x y z (fractional)
N (0.000, 0.000, 0.000)
Mn (0.500, 0.500, 0.500)
Se (0.000, 0.500, 0.000)
Se (0.000, 0.000, 0.500)
Se (0.500, 0.000, 0.000)

Results
N(E_F)	6.3	states/eV/cell



Model 2:
DFT (GGA-PBE) results for an optimized crystal structure of MnSe3N.

a = 4.576 Å, b = 4.576 Å, c = 4.576 Å
α = 90.00°, β = 90.00°, γ = 90.00°
Element x y z (fractional)
Mn (0.000, 0.000, 0.000)
Se (0.000, 0.500, 0.000)
Se (0.000, 0.000, 0.500)
Se (0.500, 0.000, 0.000)
N (0.500, 0.500, 0.500)

Results
N(E_F)	7.8	states/eV/cell



Stability verdict: model 1, ahead by 19.9 kJ/mol of atoms



Model 1:
DFT (GGA-PBE) results for an optimized crystal structure of MnSnSe2N.

a = 5.152 Å, b = 5.152 Å, c = 3.551 Å
α = 90.00°, β = 90.00°, γ = 90.00°
Element x y z (fractional)
Sn (0.500, 0.500, 0.500)
Se (0.500, 0.000, 0.000)
Se (0.000, 0.500, 0.000)
Mn (0.000, 0.000, 0.000)
N (0.000, 0.000, 0.500)

Results
N(E_F)	1.9	states/eV/cell



Model 2:
DFT (GGA-PBE) results for an optimized crystal structure of MnSnSe2N.

a = 5.348 Å, b = 5.348 Å, c = 4.023 Å
α = 90.00°, β = 90.00°, γ = 90.00°
Element x y z (fractional)
Se (0.500, 0.000, 0.000)
Se (0.000, 0.500, 0.000)
Sn (0.000, 0.000, 0.000)
Mn (0.500, 0.500, 0.500)
N (0.000, 0.000, 0.500)

Results
N(E_F)	2.4	states/eV/cell



Stability verdict: model 1, ahead by 76.2 kJ/mol of atoms



Model 1:
DFT (GGA-PBE) results for an optimized crystal structure of SrMnSe2N.

a = 5.766 Å, b = 5.766 Å, c = 4.742 Å
α = 90.00°, β = 90.00°, γ = 90.00°
Element x y z (fractional)
Se (0.000, 0.500, 0.000)
Se (0.500, 0.000, 0.000)
N (0.000, 0.000, 0.500)
Sr (0.000, 0.000, 0.000)
Mn (0.500, 0.500, 0.500)

Results
N(E_F)	4.8	states/eV/cell



Model 2:
DFT (GGA-PBE) results for an optimized crystal structure of SrMnSe2N.

a = 5.229 Å, b = 5.229 Å, c = 3.618 Å
α = 90.00°, β = 90.00°, γ = 90.00°
Element x y z (fractional)
Mn (0.000, 0.000, 0.000)
Se (0.000, 0.500, 0.000)
Se (0.500, 0.000, 0.000)
Sr (0.500, 0.500, 0.500)
N (0.000, 0.000, 0.500)

Results
N(E_F)	1.5	states/eV/cell



Stability verdict: model 2, ahead by 149.7 kJ/mol of atoms



Model 1:
DFT (GGA-PBE) results for an optimized crystal structure of MnTe2SeN.

a = 5.695 Å, b = 5.695 Å, c = 3.673 Å
α = 90.00°, β = 90.00°, γ = 90.00°
Element x y z (fractional)
Te (0.000, 0.500, 0.000)
Te (0.500, 0.000, 0.000)
Se (0.000, 0.000, 0.000)
N (0.000, 0.000, 0.500)
Mn (0.500, 0.500, 0.500)

Results
N(E_F)	3.3	states/eV/cell



Model 2:
DFT (GGA-PBE) results for an optimized crystal structure of MnTe2SeN.

a = 5.283 Å, b = 5.283 Å, c = 3.496 Å
α = 90.00°, β = 90.00°, γ = 90.00°
Element x y z (fractional)
N (0.000, 0.000, 0.500)
Se (0.500, 0.500, 0.500)
Te (0.000, 0.500, 0.000)
Te (0.500, 0.000, 0.000)
Mn (0.000, 0.000, 0.000)

Results
N(E_F)	3.1	states/eV/cell



Stability verdict: model 2, ahead by 72.3 kJ/mol of atoms



Model 1:
DFT (GGA-PBE) results for an optimized crystal structure of TiMnSeN2.

a = 3.648 Å, b = 3.648 Å, c = 5.044 Å
α = 90.00°, β = 90.00°, γ = 90.00°
Element x y z (fractional)
Se (0.000, 0.000, 0.500)
N (0.500, 0.000, 0.000)
N (0.000, 0.500, 0.000)
Mn (0.000, 0.000, 0.000)
Ti (0.500, 0.500, 0.500)

Results
N(E_F)	5.0	states/eV/cell



Model 2:
DFT (GGA-PBE) results for an optimized crystal structure of TiMnSeN2.

a = 3.844 Å, b = 3.844 Å, c = 5.465 Å
α = 90.00°, β = 90.00°, γ = 90.00°
Element x y z (fractional)
Ti (0.000, 0.000, 0.000)
N (0.000, 0.500, 0.000)
N (0.500, 0.000, 0.000)
Se (0.000, 0.000, 0.500)
Mn (0.500, 0.500, 0.500)

Results
N(E_F)	1.8	states/eV/cell



Stability verdict: model 2, ahead by 10.8 kJ/mol of atoms



Model 1:
DFT (GGA-PBE) results for an optimized crystal structure of MnTlSeN2.

a = 4.099 Å, b = 4.099 Å, c = 5.956 Å
α = 90.00°, β = 90.00°, γ = 90.00°
Element x y z (fractional)
Se (0.000, 0.000, 0.500)
Mn (0.500, 0.500, 0.500)
N (0.000, 0.500, 0.000)
N (0.500, 0.000, 0.000)
Tl (0.000, 0.000, 0.000)

Results
N(E_F)	5.6	states/eV/cell



Model 2:
DFT (GGA-PBE) results for an optimized crystal structure of MnTlSeN2.

a = 3.785 Å, b = 3.785 Å, c = 5.298 Å
α = 90.00°, β = 90.00°, γ = 90.00°
Element x y z (fractional)
N (0.500, 0.000, 0.000)
N (0.000, 0.500, 0.000)
Se (0.000, 0.000, 0.500)
Mn (0.000, 0.000, 0.000)
Tl (0.500, 0.500, 0.500)

Results
N(E_F)	1.8	states/eV/cell



Stability verdict: model 2, ahead by 117.9 kJ/mol of atoms